## CaLuCo (PBE)

Data for a relaxed structure of CaLuCo.

Results
Calculated total energy (eV for the cell shown): -13.6
D(E_F) (states/eV per cell): 1.70
ΔH_f (0 K) (kJ/mol of atoms): 0

Cell: 6.787 6.787 6.787 Å, 151.44 151.44 40.83°
Element x y z (fractional)
Ca: 0.000 0.000 0.000
Lu: 0.255 0.255 0.000
Co: 0.648 0.648 0.000



## YTa2C (PBE)

Data for a relaxed structure of YTa2C.

Results
Calculated total energy (eV for the cell shown): -74.7
D(E_F) (states/eV per cell): 2.55
ΔH_f (0 K) (kJ/mol of atoms): 50

Cell: 6.412 6.412 6.412 Å, 120.02 120.02 89.96°
Element x y z (fractional)
Y: 0.000 0.000 0.000
Y: 0.750 0.250 0.500
Ta: 0.374 0.625 0.249
Ta: 0.375 0.624 0.749
Ta: 0.376 0.125 0.751
Ta: 0.875 0.626 0.251
C: 0.250 0.750 0.500
C: 0.500 0.500 0.000



## Li2CaCuF8 (PBE)

Data for a relaxed structure of Li2CaCuF8.

Results
Calculated total energy (eV for the cell shown): -53.5
D(E_F) (states/eV per cell): 3.51
Formation energy (no corrections) (meV/atom): -2385

Cell: 4.675 6.619 4.732 Å, 90.00 91.85 90.00°
Element x y z (fractional)
Li: 0.000 0.242 0.000
Li: 0.000 0.758 0.000
Ca: 0.500 0.000 0.500
Cu: 0.500 0.500 0.500
F: 0.167 0.000 0.814
F: 0.223 0.500 0.760
F: 0.307 0.288 0.295
F: 0.307 0.712 0.295
F: 0.693 0.288 0.705
F: 0.693 0.712 0.705
F: 0.777 0.500 0.240
F: 0.833 0.000 0.186



## Ac8Ir3S3O (PBE)

Data for a relaxed structure of Ac8Ir3S3O.

Results
Calculated total energy (eV for the cell shown): -96.7
D(E_F) (states/eV per cell): 12.18
Formation energy (no corrections) (meV/atom): -1330

Cell: 8.841 8.841 8.841 Å, 57.41 57.41 57.41°
Element x y z (fractional)
Ac: 0.229 0.760 0.760
Ac: 0.240 0.240 0.771
Ac: 0.240 0.771 0.240
Ac: 0.244 0.244 0.244
Ac: 0.756 0.756 0.756
Ac: 0.760 0.229 0.760
Ac: 0.760 0.760 0.229
Ac: 0.771 0.240 0.240
Ir: 0.000 0.000 0.500
Ir: 0.000 0.500 0.000
Ir: 0.500 0.000 0.000
S: 0.000 0.500 0.500
S: 0.500 0.000 0.500
S: 0.500 0.500 0.000
O: 0.000 0.000 0.000



## HfW2Au (PBE)

Data for a relaxed structure of HfW2Au.

Results
Calculated total energy (eV for the cell shown): -36.9
D(E_F) (states/eV per cell): 5.74
ΔH_f (0 K) (kJ/mol of atoms): 53
Energy above the most stable polymorph in this dataset (eV/atom): 0.000

Cell: 4.629 4.629 4.629 Å, 60.00 60.00 60.00°
Element x y z (fractional)
Hf: 0.000 0.000 0.000
W: 0.250 0.250 0.250
W: 0.750 0.750 0.750
Au: 0.500 0.500 0.500



## TiMnSi (PBE)

Data for a relaxed structure of TiMnSi.

Results
Calculated total energy (eV for the cell shown): -23.8
D(E_F) (states/eV per cell): 3.59
Formation energy (no corrections) (meV/atom): -428

Cell: 4.803 4.803 4.803 Å, 143.57 143.57 52.47°
Element x y z (fractional)
Ti: 0.000 0.000 0.000
Mn: 0.672 0.672 0.000
Si: 0.308 0.308 0.000